Computed, not measured: a relaxed LaZnBr2 crystal at the PBE level of DFT.

a b c (Å): 9.5460 9.5460 9.5460
angles (deg): 23.95 23.95 23.95
Fractional coordinates of all 4 atoms:
Br: 0.1049 0.1049 0.1049
La: 0.0000 0.0000 0.0000
Br: 0.8951 0.8951 0.8951
Zn: 0.5000 0.5000 0.5000

Results
Theoretical density ... 4800 kg/m3
Uncorrected formation energy ... -518 meV per atom
Symmetry ... No. 166
Final energy ... -11.62 eV per cell